Crystalline RbTlCo2Rh at its relaxed geometry, computed with PBE-GGA.

Cell lengths 4.732, 5.004, 4.732 Å; angles 90.00, 90.00, 90.00 degrees
Each line ends with the local moment (μB).
Fractional coordinates of all 5 atoms:
Co (0.000, 0.000, 0.500)  1.50
Co (0.500, 0.000, 0.000)  1.54
Tl (0.500, 0.500, 0.500)  0.01
Rh (0.000, 0.500, 0.000)  0.17
Rb (0.000, 0.000, 0.000)  -0.02

## Properties
* formation energy from the elements: 2.1985 eV per atom
* total moment: 3.03 Bohr magnetons per cell
* SG: P4/mmm, No. 123

Crystalline Nd8In3Te2 at its relaxed geometry, computed with PBE-GGA.

Cell lengths 6.272, 8.744, 9.046 Å; angles 118.90, 92.23, 90.00 degrees
Fractional coordinates of all 13 atoms:
Nd (0.871, 0.587, 0.173)
Nd (0.129, 0.413, 0.827)
Nd (0.861, 0.177, 0.353)
Nd (0.139, 0.823, 0.647)
Nd (0.616, 0.587, 0.753)
Nd (0.616, 0.166, 0.753)
Nd (0.384, 0.834, 0.247)
Nd (0.384, 0.413, 0.247)
In (0.500, 0.000, 0.000)
In (0.000, 0.173, 0.000)
In (0.000, 0.827, 0.000)
Te (0.372, 0.241, 0.481)
Te (0.628, 0.759, 0.519)

## Properties
* energy relative to the elements, uncorrected: -0.47 eV/atom
* total moment: 0.00 Bohr magnetons per cell
* SG: C2/m, No. 12

Crystalline YMgNi2H6 at its relaxed geometry, computed with PBE-GGA.

Cell lengths 4.377, 4.377, 5.736 Å; angles 67.57, 67.57, 60.00 degrees
Fractional coordinates of all 10 atoms:
Y (0.000, 0.000, 0.000)
Mg (0.500, 0.500, 0.500)
Ni (0.789, 0.789, 0.633)
Ni (0.211, 0.211, 0.367)
H (0.060, 0.566, 0.809)
H (0.566, 0.060, 0.809)
H (0.434, 0.434, 0.191)
H (0.940, 0.434, 0.191)
H (0.434, 0.940, 0.191)
H (0.566, 0.566, 0.809)

## Properties
* uncorrected energy: -4.2587 eV/atom
* total moment: 0.00 Bohr magnetons per cell
* SG: R-3m, No. 166

Crystalline PmHo9Er2 at its relaxed geometry, computed with PBE-GGA.

Cell lengths 4.994, 4.994, 14.986 Å; angles 90.00, 90.00, 90.00 degrees
Fractional coordinates of all 12 atoms:
Pm (0.000, 0.000, 0.000)
Ho (0.500, 0.500, 0.000)
Ho (0.500, 0.500, 0.335)
Ho (0.500, 0.500, 0.665)
Ho (0.500, 0.000, 0.169)
Ho (0.500, 0.000, 0.500)
Ho (0.500, 0.000, 0.831)
Ho (0.000, 0.500, 0.169)
Ho (0.000, 0.500, 0.500)
Ho (0.000, 0.500, 0.831)
Er (0.000, 0.000, 0.334)
Er (0.000, 0.000, 0.666)

## Properties
* formation energy from the elements: 0.0226 eV per atom
* energy relative to the lowest polymorph listed for this composition: 0.000 eV/atom
* total moment: 0.00 Bohr magnetons per cell
* SG: P4/mmm, No. 123

Crystalline PmAlAgBi at its relaxed geometry, computed with PBE-GGA.

Cell lengths 5.231, 5.231, 5.231 Å; angles 60.00, 60.00, 60.00 degrees
Fractional coordinates of all 4 atoms:
Al (0.250, 0.250, 0.250)
Bi (0.000, 0.000, 0.000)
Ag (0.750, 0.750, 0.750)
Pm (0.500, 0.500, 0.500)

## Properties
* formation energy from the elements: -0.1258 eV per atom
* total moment: 0.00 Bohr magnetons per cell
* SG: F-43m, No. 216

Crystalline CaTlSeClO at its relaxed geometry, computed with PBE-GGA.

Cell lengths 4.739, 4.263, 6.457 Å; angles 90.00, 92.66, 90.00 degrees
Fractional coordinates of all 5 atoms:
Ca (0.254, 0.500, 0.061)
Tl (0.737, 0.000, 0.551)
Se (0.798, 0.000, 0.043)
Cl (0.244, 0.500, 0.629)
O (0.418, 0.000, 0.115)

## Properties
* energy relative to the elements, uncorrected: -1.37 eV/atom
* energy relative to the lowest polymorph listed for this composition: 0.073 eV/atom
* total moment: 0.00 Bohr magnetons per cell
* SG: Pm, No. 6

Crystalline TaP3 at its relaxed geometry, computed with PBE-GGA.

Cell lengths 5.749, 5.805, 7.811 Å; angles 90.00, 90.00, 90.00 degrees
Fractional coordinates of all 16 atoms:
P (0.123, 0.940, 0.750)
P (0.623, 0.560, 0.250)
P (0.377, 0.440, 0.750)
P (0.877, 0.060, 0.250)
P (0.567, 0.213, 0.931)
P (0.067, 0.287, 0.069)
P (0.933, 0.713, 0.569)
P (0.433, 0.787, 0.431)
P (0.433, 0.787, 0.069)
P (0.933, 0.713, 0.931)
P (0.067, 0.287, 0.431)
P (0.567, 0.213, 0.569)
Ta (0.570, 0.847, 0.750)
Ta (0.070, 0.653, 0.250)
Ta (0.930, 0.347, 0.750)
Ta (0.430, 0.153, 0.250)

## Properties
* formation energy from the elements: -0.3709 eV per atom
* total moment: 0.00 Bohr magnetons per cell
* SG: Pnma, No. 62

Crystalline LiNd3Ho3Te8 at its relaxed geometry, computed with PBE-GGA.

Cell lengths 8.774, 8.774, 8.820 Å; angles 119.83, 90.00, 120.00 degrees
Fractional coordinates of all 15 atoms:
Li (0.000, 0.000, 0.500)
Nd (0.000, 0.000, 0.000)
Nd (0.000, 0.500, 0.000)
Nd (0.500, 0.500, 0.000)
Ho (0.500, 0.000, 0.500)
Ho (0.500, 0.500, 0.500)
Ho (0.000, 0.500, 0.500)
Te (0.254, 0.508, 0.262)
Te (0.746, 0.492, 0.738)
Te (0.752, 0.504, 0.260)
Te (0.248, 0.496, 0.740)
Te (0.752, 0.008, 0.260)
Te (0.248, 0.992, 0.740)
Te (0.256, 0.008, 0.260)
Te (0.744, 0.992, 0.740)

## Properties
* energy relative to the elements, uncorrected: -1.35 eV/atom
* total moment: 0.00 Bohr magnetons per cell
* SG: R-3m, No. 166

Crystalline La5Ti5O17 at its relaxed geometry, computed with PBE-GGA.

Cell lengths 3.970, 5.548, 31.667 Å; angles 90.00, 90.00, 90.00 degrees
Fractional coordinates of all 54 atoms:
La (0.000, 0.234, 0.113)
La (0.500, 0.766, 0.613)
La (0.000, 0.753, 0.205)
La (0.500, 0.247, 0.705)
La (0.000, 0.270, 0.298)
La (0.500, 0.730, 0.798)
La (0.000, 0.667, 0.419)
La (0.500, 0.333, 0.919)
La (0.500, 0.165, 0.491)
La (0.000, 0.835, 0.991)
Ti (0.500, 0.294, 0.028)
Ti (0.000, 0.706, 0.528)
Ti (0.500, 0.756, 0.114)
Ti (0.000, 0.244, 0.614)
Ti (0.500, 0.252, 0.205)
Ti (0.000, 0.748, 0.705)
Ti (0.500, 0.748, 0.297)
Ti (0.000, 0.252, 0.797)
Ti (0.500, 0.210, 0.382)
Ti (0.000, 0.790, 0.882)
O (0.000, 0.251, 0.034)
O (0.500, 0.749, 0.534)
O (0.500, 0.969, 0.070)
O (0.000, 0.031, 0.570)
O (0.500, 0.448, 0.085)
O (0.000, 0.552, 0.585)
O (0.000, 0.748, 0.123)
O (0.500, 0.252, 0.623)
O (0.500, 0.050, 0.154)
O (0.000, 0.950, 0.654)
O (0.500, 0.552, 0.172)
O (0.000, 0.448, 0.672)
O (0.000, 0.253, 0.205)
O (0.500, 0.747, 0.705)
O (0.500, 0.954, 0.239)
O (0.000, 0.046, 0.739)
O (0.500, 0.455, 0.257)
O (0.000, 0.545, 0.757)
O (0.000, 0.757, 0.288)
O (0.500, 0.243, 0.788)
O (0.500, 0.073, 0.981)
O (0.000, 0.927, 0.481)
O (0.500, 0.560, 0.994)
O (0.000, 0.440, 0.494)
O (0.000, 0.057, 0.916)
O (0.500, 0.943, 0.416)
O (0.000, 0.571, 0.929)
O (0.500, 0.429, 0.429)
O (0.500, 0.748, 0.876)
O (0.000, 0.252, 0.376)
O (0.000, 0.464, 0.841)
O (0.500, 0.536, 0.341)
O (0.000, 0.943, 0.825)
O (0.500, 0.057, 0.325)

## Properties
* energy relative to the elements, uncorrected: -3.32 eV/atom
* total moment: 0.00 Bohr magnetons per cell
* SG: Pmn2_1, No. 31

Crystalline ScAl2Ga2 at its relaxed geometry, computed with PBE-GGA.

Cell lengths 7.551, 7.551, 3.199 Å; angles 90.00, 90.00, 90.00 degrees
Each line ends with the local moment (μB).
Fractional coordinates of all 10 atoms:
Sc (0.000, 0.000, 0.000)  0.14
Sc (0.500, 0.500, 0.000)  0.14
Al (0.374, 0.874, 0.000)  0.00
Al (0.874, 0.626, 0.000)  0.00
Al (0.626, 0.126, 0.000)  0.00
Al (0.126, 0.374, 0.000)  0.00
Ga (0.171, 0.671, 0.500)  -0.01
Ga (0.671, 0.829, 0.500)  0.00
Ga (0.829, 0.329, 0.500)  -0.01
Ga (0.329, 0.171, 0.500)  0.00

## Properties
* formation energy from the elements: -0.1580 eV per atom
* total moment: 0.38 Bohr magnetons per cell
* SG: P4/mbm, No. 127

Crystalline Cs2KNaAu at its relaxed geometry, computed with PBE-GGA.

Cell lengths 7.704, 7.704, 5.538 Å; angles 90.00, 90.00, 90.00 degrees
Fractional coordinates of all 5 atoms:
Cs (0.000, 0.500, 0.000)
Cs (0.500, 0.000, 0.000)
Na (0.000, 0.000, 0.000)
K (0.500, 0.500, 0.500)
Au (0.000, 0.000, 0.500)

## Properties
* formation energy from the elements: 0.0498 eV per atom
* energy relative to the lowest polymorph listed for this composition: 0.168 eV/atom
* total moment: 0.00 Bohr magnetons per cell
* SG: P4/mmm, No. 123

Crystalline BeCrSi4 at its relaxed geometry, computed with PBE-GGA.

Cell lengths 4.780, 4.780, 4.780 Å; angles 60.00, 60.00, 60.00 degrees
Each line ends with the local moment (μB).
Fractional coordinates of all 6 atoms:
Be (0.750, 0.750, 0.750)  -0.03
Cr (0.000, 0.000, 0.000)  1.32
Si (0.876, 0.375, 0.375)  -0.01
Si (0.375, 0.375, 0.375)  -0.01
Si (0.375, 0.375, 0.876)  -0.01
Si (0.375, 0.876, 0.375)  -0.01

## Properties
* energy relative to the elements, uncorrected: 0.58 eV/atom
* total moment: 1.19 Bohr magnetons per cell
* SG: F-43m, No. 216